Y3ScRu2: optimized geometry, PBE-GGA.

E_tot in eV/atom: -7.628
SG: Immm (71)
Total moment in μB per formula unit: 0.000

Cell lengths 4.178, 4.419, 15.030 Å; angles 90.00, 90.00, 90.00 degrees
Atoms (fractional coordinates):
Y 0.000 0.000 0.000
Y 0.000 0.500 0.317
Y 0.000 0.500 0.683
Y 0.500 0.000 0.183
Y 0.500 0.000 0.817
Y 0.500 0.500 0.500
Sc 0.000 0.000 0.500
Sc 0.500 0.500 0.000
Ru 0.000 0.500 0.125
Ru 0.000 0.500 0.875
Ru 0.500 0.000 0.375
Ru 0.500 0.000 0.625